Gd4Te3N2 | PBE | relaxed

Cell lengths 7.3397, 7.3397, 10.6335 Å; angles 126.71, 126.71, 32.57 degrees
Last column: nearest neighbours and their distance in Å.
Element x y z (fractional)
Gd 0.2905 0.2905 0.8405  1 N 2.18
Gd 0.7095 0.7095 0.1595  1 N 2.18
Gd 0.8739 0.8739 0.6258  3 N 2.25-2.40
Gd 0.1261 0.1261 0.3742  3 N 2.25-2.40
Te 0.6001 0.6001 0.7575  4 Gd 3.04-3.29
Te 0.0000 0.0000 0.0000  6 Gd 3.10-3.19
Te 0.3999 0.3999 0.2425  4 Gd 3.04-3.29
N 0.2901 0.2901 0.6348  4 Gd 2.18-2.40
N 0.7099 0.7099 0.3652  4 Gd 2.18-2.40

Summary:
* total DFT energy (no corrections): -58.4 eV/cell
* theoretical density: 7.16 g cm⁻³
* SG: No. 12

***

YHoIr | PBE | relaxed

Cell lengths 7.1921, 4.6079, 8.7892 Å; angles 90.00, 90.00, 90.00 degrees
Last column: nearest neighbours and their distance in Å.
Element x y z (fractional)
Y 0.6419 0.7500 0.5819  4 Ir 2.90-2.94
Y 0.8581 0.2500 0.0819  4 Ir 2.90-2.94
Y 0.3581 0.2500 0.4181  4 Ir 2.90-2.94
Y 0.1419 0.7500 0.9181  4 Ir 2.90-2.94
Ir 0.2613 0.2500 0.0933  3 Ho 2.78-2.97, 4 Y 2.90-2.94
Ir 0.2387 0.7500 0.5933  3 Ho 2.78-2.97, 4 Y 2.90-2.94
Ir 0.7613 0.2500 0.4067  3 Ho 2.78-2.97, 4 Y 2.90-2.94
Ir 0.7387 0.7500 0.9067  3 Ho 2.78-2.97, 4 Y 2.90-2.94
Ho 0.9908 0.2500 0.6612  3 Ir 2.78-2.97
Ho 0.5092 0.7500 0.1612  3 Ir 2.78-2.97
Ho 0.0092 0.7500 0.3388  3 Ir 2.78-2.97
Ho 0.4908 0.2500 0.8388  3 Ir 2.78-2.97

Summary:
* relative energy among the computed polymorphs: 0.020 eV per atom
* theoretical density: 10.17 g cm⁻³
* SG: No. 62
* calculated formation energy: -0.712 eV per atom

***

YTmNi8B2 | PBE | relaxed

Cell lengths 4.9762, 4.9762, 6.9524 Å; angles 90.00, 90.00, 119.98 degrees
Last column: nearest neighbours and their distance in Å.
Element x y z (fractional)
Ni 0.5000 0.0000 0.7927  2 B 2.04
Ni 0.5000 0.0000 0.2073  2 B 2.04
Ni 0.0000 0.5000 0.2073  2 B 2.04
Ni 0.6667 0.3333 0.5000  6 Ni 2.49
Ni 0.3333 0.6667 0.5000  6 Ni 2.49
Ni 0.5000 0.5000 0.2073  2 B 2.03
Ni 0.0000 0.5000 0.7927  2 B 2.04
Ni 0.5000 0.5000 0.7927  2 B 2.03
B 0.3333 0.6667 0.0000  6 Ni 2.03-2.04
B 0.6667 0.3333 0.0000  6 Ni 2.03-2.04
Y 0.0000 0.0000 0.5000  18 Ni 2.87-3.21
Tm 0.0000 0.0000 0.0000  6 B 2.87, 12 Ni 2.88

Summary:
* relative energy among the computed polymorphs: 0.000 eV per atom
* theoretical density: 8.34 g cm⁻³
* SG: No. 191

***

ZnGaAu2 | PBE | relaxed

Cell lengths 4.6242, 4.6242, 4.6242 Å; angles 60.00, 60.00, 60.00 degrees
Last column: nearest neighbours and their distance in Å.
Element x y z (fractional)
Zn 0.2500 0.2500 0.2500  4 Ga 2.83, 4 Au 2.83
Au 0.7500 0.7500 0.7500  4 Au 2.83, 4 Ga 2.83
Au 0.0000 0.0000 0.0000  4 Zn 2.83, 4 Au 2.83
Ga 0.5000 0.5000 0.5000  4 Zn 2.83, 4 Au 2.83

Summary:
* total DFT energy (no corrections): -11.0 eV/cell
* theoretical density: 12.56 g cm⁻³
* SG: No. 216

***

ZnFeGeS3 | PBE | relaxed

Cell lengths 6.3330, 6.3330, 10.4698 Å; angles 90.00, 90.00, 32.31 degrees
Last column: nearest neighbours and their distance in Å.
Element x y z (fractional)
S 0.8683 0.8683 0.9318  1 Fe 2.28, 2 Zn 2.49
S 0.1317 0.1317 0.4318  1 Fe 2.28, 2 Zn 2.49
S 0.4078 0.4078 0.2500  2 Fe 2.29
S 0.1317 0.1317 0.0682  1 Fe 2.28, 2 Zn 2.49
S 0.8683 0.8683 0.5682  1 Fe 2.28, 2 Zn 2.49
S 0.5922 0.5922 0.7500  2 Fe 2.29
Zn 0.5000 0.5000 0.5000  4 S 2.49
Zn 0.5000 0.5000 0.0000  4 S 2.49
Fe 0.9713 0.9713 0.7500  4 S 2.28-2.29
Fe 0.0287 0.0287 0.2500  4 S 2.28-2.29
Ge 0.2917 0.2917 0.7500  6 S 2.76-3.00, 2 Fe 2.81
Ge 0.7083 0.7083 0.2500  6 S 2.76-3.00, 2 Fe 2.81

Summary:
* relative energy among the computed polymorphs: 0.110 eV per atom
* theoretical density: 4.29 g cm⁻³
* SG: No. 63

***

Gd2HoIn3Pt2Au | PBE | relaxed

Cell lengths 3.8324, 7.7901, 7.7901 Å; angles 119.86, 90.00, 90.00 degrees
Last column: nearest neighbours and their distance in Å.
Element x y z (fractional)
In 0.5000 0.2685 0.2685  2 Au 2.85, 2 Pt 2.87, 2 Ho 3.17
In 0.5000 0.9992 0.7317  2 Au 2.83, 2 Pt 2.88-2.91, 2 Gd 3.17
In 0.5000 0.7317 0.9992  2 Au 2.83, 2 Pt 2.88-2.91, 2 Gd 3.17
Gd 0.0000 0.0000 0.4084  4 Pt 3.05, 6 In 3.17-3.40, 1 Au 3.18
Gd 0.0000 0.4084 0.0000  4 Pt 3.05, 6 In 3.17-3.40, 1 Au 3.18
Pt 0.5000 0.3356 0.6658  3 In 2.87-2.91, 2 Ho 3.02, 4 Gd 3.05
Pt 0.5000 0.6658 0.3356  3 In 2.87-2.91, 2 Ho 3.02, 4 Gd 3.05
Ho 0.0000 0.5914 0.5914  4 Pt 3.02, 2 In 3.17, 1 Au 3.18
Au 0.0000 0.9991 0.9991  6 In 2.83-2.85

Summary:
* total DFT energy (no corrections): -45.7 eV/cell
* theoretical density: 11.62 g cm⁻³
* SG: No. 38

***

SrHo2Al3Ge2Pt | PBE | relaxed

Cell lengths 4.2850, 7.1084, 7.1084 Å; angles 120.18, 90.00, 90.00 degrees
Last column: nearest neighbours and their distance in Å.
Element x y z (fractional)
Ge 0.5000 0.6784 0.3286  3 Al 2.66-2.89, 2 Ho 2.98
Ge 0.5000 0.3286 0.6784  3 Al 2.66-2.89, 2 Ho 2.98
Ho 0.0000 0.0036 0.5890  1 Pt 2.89, 4 Ge 2.98-3.01
Ho 0.0000 0.5890 0.0036  1 Pt 2.89, 4 Ge 2.98-3.01
Al 0.5000 0.9912 0.2273  2 Ge 2.66-2.88, 2 Pt 2.73, 2 Al 2.78-2.91
Al 0.5000 0.2273 0.9912  2 Ge 2.66-2.88, 2 Pt 2.73, 2 Al 2.78-2.91
Al 0.5000 0.7744 0.7744  2 Pt 2.62, 2 Al 2.78, 2 Ge 2.89
Sr 0.0000 0.4211 0.4211  1 Pt 3.08, 4 Ge 3.09, 6 Al 3.30-3.41
Pt 0.0000 0.9864 0.9864  6 Al 2.62-2.73, 2 Ho 2.89

Summary:
* total DFT energy (no corrections): -44.6 eV/cell
* theoretical density: 7.44 g cm⁻³
* SG: No. 38

***

ErTm2NiGe3Ir2 | PBE | relaxed

Cell lengths 3.8174, 7.0284, 7.0284 Å; angles 120.18, 90.00, 90.00 degrees
Last column: nearest neighbours and their distance in Å.
Element x y z (fractional)
Ge 0.5000 0.2502 0.9997  2 Ni 2.60, 2 Ir 2.67-2.68
Ge 0.5000 0.9997 0.2502  2 Ni 2.60, 2 Ir 2.67-2.68
Ge 0.5000 0.7494 0.7494  2 Ni 2.59, 2 Ir 2.69
Ni 0.0000 0.9991 0.9991  6 Ge 2.59-2.60, 2 Tm 2.81, 1 Er 2.82
Tm 0.0000 0.0001 0.5992  1 Ni 2.81, 4 Ir 2.86, 6 Ge 3.11-3.12
Tm 0.0000 0.5992 0.0001  1 Ni 2.81, 4 Ir 2.86, 6 Ge 3.11-3.12
Er 0.0000 0.4016 0.4016  1 Ni 2.82, 4 Ir 2.88, 6 Ge 3.10-3.12
Ir 0.5000 0.3327 0.6679  3 Ge 2.67-2.69, 4 Tm 2.86, 2 Er 2.88
Ir 0.5000 0.6679 0.3327  3 Ge 2.67-2.69, 4 Tm 2.86, 2 Er 2.88

Summary:
* total DFT energy (no corrections): -58.1 eV/cell
* theoretical density: 11.88 g cm⁻³
* SG: No. 38

***

CsNb4Br11 | PBE | relaxed

Cell lengths 17.0154, 7.3673, 7.1618 Å; angles 90.00, 90.00, 90.00 degrees
Last column: nearest neighbours and their distance in Å.
Element x y z (fractional)
Br 0.7500 0.0000 0.4105  2 Nb 2.81
Br 0.7500 0.7640 0.9872  2 Nb 2.74
Br 0.5775 0.2540 0.3179  2 Nb 2.57-2.65
Br 0.0775 0.2540 0.6821  2 Nb 2.57-2.65
Br 0.7500 0.2360 0.9872  2 Nb 2.74
Br 0.5868 0.0000 0.7825  3 Nb 2.58-2.64
Br 0.0775 0.7460 0.6821  2 Nb 2.57-2.65
Br 0.4151 0.5000 0.1345  2 Nb 2.76
Br 0.9151 0.5000 0.8655  2 Nb 2.76
Br 0.9225 0.2540 0.3179  2 Nb 2.57-2.65
Br 0.4225 0.2540 0.6821  2 Nb 2.57-2.65
Br 0.2500 0.2360 0.0128  2 Nb 2.74
Br 0.5849 0.5000 0.8655  2 Nb 2.76
Br 0.2500 0.7640 0.0128  2 Nb 2.74
Br 0.4132 0.0000 0.2175  3 Nb 2.58-2.64
Br 0.0868 0.0000 0.2175  3 Nb 2.58-2.64
Br 0.5775 0.7460 0.3179  2 Nb 2.57-2.65
Br 0.0849 0.5000 0.1345  2 Nb 2.76
Br 0.2500 0.0000 0.5895  2 Nb 2.81
Br 0.4225 0.7460 0.6821  2 Nb 2.57-2.65
Br 0.9132 0.0000 0.7825  3 Nb 2.58-2.64
Br 0.9225 0.7460 0.3179  2 Nb 2.57-2.65
Nb 0.3611 0.0000 0.8794  6 Br 2.57-2.81
Nb 0.8611 0.0000 0.1206  6 Br 2.57-2.81
Nb 0.0000 0.7921 0.0000  6 Br 2.64-2.76, 2 Nb 2.95
Nb 0.5000 0.2079 0.0000  6 Br 2.64-2.76, 2 Nb 2.95
Nb 0.0000 0.2079 0.0000  6 Br 2.64-2.76, 2 Nb 2.95
Nb 0.5000 0.7921 0.0000  6 Br 2.64-2.76, 2 Nb 2.95
Nb 0.6389 0.0000 0.1206  6 Br 2.57-2.81
Nb 0.1389 0.0000 0.8794  6 Br 2.57-2.81
Cs 0.2500 0.5000 0.4930  10 Br 3.71-3.95
Cs 0.7500 0.5000 0.5070  10 Br 3.71-3.95

Summary:
* total DFT energy (no corrections): -151.3 eV/cell
* theoretical density: 5.12 g cm⁻³
* SG: No. 51

***

CoCuIrPb | PBE | relaxed

Cell lengths 4.4037, 4.4037, 4.4037 Å; angles 60.00, 60.00, 60.00 degrees
Last column: nearest neighbours and their distance in Å.
Element x y z (fractional)
Ir 0.2500 0.2500 0.2500  4 Pb 2.70, 4 Cu 2.70
Co 0.7500 0.7500 0.7500  4 Pb 2.70, 4 Cu 2.70
Pb 0.0000 0.0000 0.0000  4 Ir 2.70, 4 Co 2.70
Cu 0.5000 0.5000 0.5000  4 Ir 2.70, 4 Co 2.70

Summary:
* relative energy among the computed polymorphs: 0.000 eV per atom
* theoretical density: 14.35 g cm⁻³
* SG: No. 216

***

NaNdNO | PBE | relaxed

Cell lengths 4.3079, 4.8280, 6.7674 Å; angles 90.00, 90.00, 90.00 degrees
Last column: nearest neighbours and their distance in Å.
Element x y z (fractional)
Nd 0.5000 0.4386 0.8059  3 O 2.29-2.44, 2 N 2.35
Nd 0.5000 0.9386 0.1941  3 O 2.29-2.44, 2 N 2.35
N 0.0000 0.4384 0.6659  3 Na 2.35-2.42, 2 Nd 2.35
N 0.0000 0.9384 0.3341  3 Na 2.35-2.42, 2 Nd 2.35
O 0.5000 0.4385 0.1441  3 Nd 2.29-2.44, 2 Na 2.46
O 0.5000 0.9385 0.8559  3 Nd 2.29-2.44, 2 Na 2.46
Na 0.0000 0.9385 0.6818  3 N 2.35-2.42, 2 O 2.46
Na 0.0000 0.4385 0.3182  3 N 2.35-2.42, 2 O 2.46

Summary:
* relative energy among the computed polymorphs: 0.019 eV per atom
* theoretical density: 4.65 g cm⁻³
* SG: No. 51

***

Tc2Pt2O5 | PBE | relaxed

Cell lengths 8.2988, 3.3908, 3.3908 Å; angles 90.00, 90.00, 90.00 degrees
Last column: nearest neighbours and their distance in Å.
Element x y z (fractional)
Pt 0.8402 0.5000 0.5000  4 O 2.20
Pt 0.1598 0.5000 0.5000  4 O 2.20
O 0.3284 0.5000 0.0000  2 Pt 2.20, 2 Tc 2.21, 6 O 2.21-2.40
O 0.6716 0.5000 0.0000  2 Pt 2.20, 6 O 2.21-2.40, 2 Tc 2.21
O 0.6716 0.0000 0.5000  2 Pt 2.20, 6 O 2.21-2.40, 2 Tc 2.21
O 0.5000 0.5000 0.5000  8 O 2.21, 4 Tc 2.40
O 0.3284 0.0000 0.5000  2 Pt 2.20, 2 Tc 2.21, 6 O 2.21-2.40
Tc 0.0000 0.0000 0.0000  8 Pt 2.74
Tc 0.5000 0.0000 0.0000  12 O 2.21-2.40

Summary:
* relative energy among the computed polymorphs: 0.282 eV per atom
* theoretical density: 11.59 g cm⁻³
* SG: No. 123